Entry from Alexandria via LeMat-Bulk: YIrSeO2 after structural relaxation (PBE-GGA).

The space group is P4/mmm (No. 123) and the conventional cell measures 3.8594, 3.8594 and 6.1418 Å, with angles of 90.00, 90.00 and 90.00 degrees. The distinct sites, in fractional coordinates, are Y at (0.0000, 0.0000, 0.0000), Ir at (0.0000, 0.0000, 0.5000), Se at (0.5000, 0.5000, 0.0000) and O at (0.0000, 0.5000, 0.5000).

The total energy is -33.8 eV/cell. The crystal system is tetragonal. The formation energy (no corrections) comes out at -1024.3 meV/atom.